Entry 1:
Entry from the Alexandria database: a relaxed BaLa2Hg crystal (PBE).

extended XYZ file:
```
4
Lattice="-3.647 0.666 -5.274 -1.394 -5.666 -2.742 -0.441 2.252 6.024" Properties=species:S:1:pos:R:3 pbc="T T T"
Ba -2.177 -2.957 -0.362
Hg -3.304 0.209 -1.629
La -2.520 -2.500 -4.008
La 0.000 0.000 0.000
```

crystal system	tetragonal
E_form	-40	meV per atom

Entry 2:
Entry from the Alexandria database: a relaxed Ba2LaHg4 crystal (PBE).

extended XYZ file:
```
7
Lattice="5.522 0.000 -1.760 -0.561 5.494 -1.760 -0.328 -0.363 8.513" Properties=species:S:1:pos:R:3 pbc="T T T"
Hg 0.172 3.248 0.539
Hg 3.213 0.501 0.539
Hg 1.420 4.629 4.453
Hg 4.461 1.883 4.453
Ba 1.187 1.314 3.723
Ba 3.446 3.816 1.269
La 0.000 0.000 0.000
```

crystal system	tetragonal
E_form	-402	meV per atom

Entry 3:
Entry from the Alexandria database: a relaxed BaLa2Hg crystal (PBE).

extended XYZ file:
```
4
Lattice="11.854 0.003 0.002 11.193 3.905 0.002 11.193 1.898 3.413" Properties=species:S:1:pos:R:3 pbc="T T T"
Hg 25.679 4.354 2.562
La 0.533 0.090 0.053
La 16.587 2.812 1.655
Ba 8.560 1.451 0.854
```

crystal system	trigonal
E_form	-68	meV per atom

Entry 4:
Entry from the Alexandria database: a relaxed Ba2LaHg10 crystal (PBE).

extended XYZ file:
```
26
Lattice="6.198 0.000 0.000 0.000 13.232 0.000 0.000 0.000 11.462" Properties=species:S:1:pos:R:3 pbc="T T T"
Hg 4.588 4.018 6.741
Hg 0.000 12.663 8.327
Hg 0.000 1.490 6.075
Hg 0.000 0.569 3.135
Hg 0.000 4.188 3.487
Hg 1.610 4.018 6.741
Hg 0.000 2.428 9.218
Hg 1.610 9.213 4.721
Hg 1.610 2.598 1.010
Hg 4.588 9.213 4.721
Hg 4.588 10.634 10.452
Hg 0.000 5.126 0.344
Hg 0.000 9.044 7.975
Hg 4.588 2.598 1.010
Hg 1.610 10.634 10.452
Hg 0.000 8.105 11.118
Hg 0.000 6.047 8.867
Hg 0.000 11.742 5.387
Hg 0.000 10.803 2.244
Hg 0.000 7.185 2.596
Ba 3.099 8.773 1.578
Ba 3.099 4.458 9.884
Ba 3.099 11.074 7.309
Ba 3.099 2.158 4.153
La 0.000 0.000 0.000
La 0.000 6.616 5.731
```

crystal system	orthorhombic
E_form	-203	meV per atom

Entry 5:
Entry from the Alexandria database: a relaxed BaLa2Hg crystal (PBE).

extended XYZ file:
```
4
Lattice="-3.010 -2.554 4.288 -4.907 -2.903 -1.212 -0.125 -5.813 0.412" Properties=species:S:1:pos:R:3 pbc="T T T"
Ba -4.021 -5.635 1.743
La 0.000 0.000 0.000
La -2.010 -2.817 0.872
Hg -6.031 -8.452 2.615
```

crystal system	cubic
E_form	42	meV per atom

Entry 6:
Entry from the Alexandria database: a relaxed BaLa2Hg2 crystal (PBE).

extended XYZ file:
```
5
Lattice="-3.469 2.632 2.391 -3.546 -2.810 -2.052 -3.115 -4.737 5.855" Properties=species:S:1:pos:R:3 pbc="T T T"
Hg -3.429 -1.026 1.316
Hg -6.702 -3.888 4.878
La -5.085 -3.818 1.986
La -5.046 -1.097 4.208
Ba 0.000 0.000 0.000
```

crystal system	tetragonal
E_form	-270	meV per atom

Entry 7:
Entry from the Alexandria database: a relaxed BaLa3Hg4 crystal (PBE).

extended XYZ file:
```
16
Lattice="5.603 0.000 0.000 0.000 8.011 0.000 0.000 0.000 11.211" Properties=species:S:1:pos:R:3 pbc="T T T"
Hg 2.802 6.121 5.605
Hg 2.802 1.891 5.605
Hg 2.802 6.121 0.000
Hg 5.598 1.890 2.803
Hg 2.802 1.891 0.000
Hg 0.005 6.121 8.408
Hg 0.005 1.890 8.408
Hg 5.598 6.121 2.803
Ba 0.000 4.006 5.605
Ba 0.000 4.006 0.000
La 0.000 0.000 5.605
La 2.797 0.000 2.803
La 0.000 0.000 0.000
La 2.804 4.006 8.408
La 2.806 0.000 8.408
La 2.799 4.006 2.803
```

crystal system	tetragonal
E_form	-475	meV per atom

Entry 8:
Entry from the Alexandria database: a relaxed Ba2LaHg3 crystal (PBE).

extended XYZ file:
```
12
Lattice="5.770 0.000 0.022 2.885 8.681 0.011 -0.033 0.000 8.249" Properties=species:S:1:pos:R:3 pbc="T T T"
Ba 2.868 2.884 4.136
Ba -0.017 0.000 4.124
Ba 0.000 0.000 0.000
Ba 5.753 5.797 4.147
Hg 2.859 5.657 6.436
Hg 2.877 5.657 1.836
Hg 2.859 0.000 6.322
Hg 2.877 0.000 1.949
Hg 5.762 3.023 1.847
Hg 5.744 3.023 6.447
La 2.885 2.870 0.011
La 5.770 5.811 0.022
```

crystal system	orthorhombic
E_form	-500	meV per atom

Entry 9:
Entry from the Alexandria database: a relaxed BaLa2Hg2 crystal (PBE).

extended XYZ file:
```
5
Lattice="4.008 0.000 0.000 0.000 3.948 0.748 0.000 -0.049 11.049" Properties=species:S:1:pos:R:3 pbc="T T T"
Ba 0.000 0.000 0.000
Hg 2.004 1.543 2.647
Hg 2.004 2.356 9.150
La 0.000 0.690 7.152
La 0.000 3.210 4.645
```

crystal system	orthorhombic
E_form	-312	meV per atom

Entry 10:
Entry from the Alexandria database: a relaxed BaLa2Hg8 crystal (PBE).

extended XYZ file:
```
11
Lattice="5.211 0.000 -1.582 -0.890 6.593 -2.932 -0.010 0.144 9.339" Properties=species:S:1:pos:R:3 pbc="T T T"
Hg 1.656 0.864 5.455
Hg 3.051 2.936 0.676
Hg -0.630 4.665 -2.075
Hg 4.941 2.072 6.899
Hg 3.622 5.634 2.554
Hg 0.689 1.103 2.270
Hg 1.260 3.801 4.149
Hg 2.654 5.872 -0.630
La 0.342 4.556 1.127
La 3.969 2.181 3.698
Ba 2.606 0.000 -0.791
```

crystal system	orthorhombic
E_form	-384	meV per atom

Entry 11:
Entry from the Alexandria database: a relaxed BaLa2Hg crystal (PBE).

extended XYZ file:
```
8
Lattice="-4.075 -0.676 2.593 -2.101 -2.122 -3.856 1.164 -12.494 3.158" Properties=species:S:1:pos:R:3 pbc="T T T"
La -1.345 -4.503 -1.415
La -1.347 -10.323 2.071
La -4.627 -11.916 1.087
La -2.705 -3.842 2.047
Hg 0.000 0.000 0.000
Hg -3.000 -7.285 2.560
Ba -2.013 -8.008 -0.665
Ba -3.088 -1.399 -0.631
```

crystal system	tetragonal
E_form	18	meV per atom

Entry 12:
Entry from the Alexandria database: a relaxed Ba4LaHg5 crystal (PBE).

extended XYZ file:
```
10
Lattice="4.128 0.000 0.000 0.000 4.128 0.000 0.000 0.000 20.856" Properties=species:S:1:pos:R:3 pbc="T T T"
La 0.000 0.000 0.000
Ba 0.000 0.000 3.997
Ba 0.000 0.000 16.859
Ba 0.000 0.000 8.289
Ba 0.000 0.000 12.567
Hg 2.064 2.064 19.112
Hg 2.064 2.064 6.151
Hg 2.064 2.064 10.428
Hg 2.064 2.064 1.745
Hg 2.064 2.064 14.706
```

crystal system	tetragonal
E_form	-514	meV per atom

Entry 13:
Entry from the Alexandria database: a relaxed Ba2LaHg2 crystal (PBE).

extended XYZ file:
```
10
Lattice="9.666 0.000 0.000 0.000 9.666 0.000 0.000 0.000 3.918" Properties=species:S:1:pos:R:3 pbc="T T T"
Hg 6.380 8.120 1.959
Hg 8.120 3.287 1.959
Hg 3.287 1.546 1.959
Hg 1.546 6.380 1.959
Ba 6.178 1.345 0.000
Ba 3.489 8.322 0.000
Ba 8.322 6.178 0.000
Ba 1.345 3.489 0.000
La 0.000 0.000 0.000
La 4.833 4.833 0.000
```

crystal system	tetragonal
E_form	-209	meV per atom

Entry 14:
Entry from the Alexandria database: a relaxed BaLa4Hg crystal (PBE).

extended XYZ file:
```
6
Lattice="0.000 4.801 4.801 4.801 0.000 4.801 4.801 4.801 0.000" Properties=species:S:1:pos:R:3 pbc="T T T"
La 3.561 6.041 6.041
La 6.041 6.041 3.561
La 3.561 3.561 3.561
La 6.041 3.561 6.041
Ba 7.202 7.202 7.202
Hg 0.000 0.000 0.000
```

crystal system	cubic
E_form	215	meV per atom

Entry 15:
Entry from the Alexandria database: a relaxed BaLa2Hg crystal (PBE).

extended XYZ file:
```
4
Lattice="6.466 0.007 0.000 2.482 5.971 0.000 -4.474 -2.989 3.586" Properties=species:S:1:pos:R:3 pbc="T T T"
Hg 3.233 0.004 1.793
Ba 4.474 2.989 0.000
La 1.241 2.985 1.793
La 0.000 0.000 0.000
```

crystal system	tetragonal
E_form	-38	meV per atom

Entry 16:
Entry from the Alexandria database: a relaxed BaLa2Hg crystal (PBE).

extended XYZ file:
```
4
Lattice="11.740 -0.017 -0.010 11.087 3.860 -0.010 11.087 1.866 3.379" Properties=species:S:1:pos:R:3 pbc="T T T"
La 0.264 0.044 0.026
La 8.729 1.469 0.864
Hg 25.283 4.256 2.504
Ba 16.596 2.794 1.643
```

crystal system	trigonal
E_form	-95	meV per atom

Entry 17:
Entry from the Alexandria database: a relaxed BaLa2Hg crystal (PBE).

extended XYZ file:
```
4
Lattice="-1.046 3.645 -1.175 -2.560 -1.571 -2.596 -6.901 0.178 6.696" Properties=species:S:1:pos:R:3 pbc="T T T"
La -6.668 0.172 6.469
La -3.250 1.074 -0.481
Hg -7.197 1.176 3.348
Ba -3.745 0.097 3.633
```

crystal system	tetragonal
E_form	-205	meV per atom

Entry 18:
Entry from the Alexandria database: a relaxed BaLaHg17 crystal (PBE).

extended XYZ file:
```
19
Lattice="-3.908 -7.245 0.845 4.603 -4.155 5.480 -4.152 0.758 7.118" Properties=species:S:1:pos:R:3 pbc="T T T"
Hg -1.346 -6.298 2.273
Hg -1.515 -0.757 6.617
Hg -0.531 -6.569 5.354
Hg 2.007 -5.081 4.100
Hg 1.346 -6.001 7.709
Hg -3.722 -4.778 5.951
Hg -3.366 -7.712 5.142
Hg -4.942 -8.499 10.651
Hg -4.055 -1.679 5.233
Hg -1.736 -10.298 10.051
Hg -1.825 -7.367 12.348
Hg -3.501 -3.281 8.615
Hg -3.269 -10.061 12.708
Hg 1.934 -2.693 5.972
Hg -0.408 -1.257 1.588
Hg -0.620 -3.652 7.641
Hg -3.959 -4.832 2.762
La -1.110 -3.416 4.315
Ba -2.232 -6.868 8.675
```

crystal system	trigonal
E_form	-174	meV per atom

Entry 19:
Entry from the Alexandria database: a relaxed BaLa2Hg crystal (PBE).

extended XYZ file:
```
4
Lattice="-1.032 3.533 3.734 -1.557 -3.797 3.162 4.834 -0.487 1.797" Properties=species:S:1:pos:R:3 pbc="T T T"
Ba -1.295 -0.132 3.448
La 0.000 0.000 0.000
La 1.639 -2.142 2.479
Hg 1.901 1.523 2.766
```

crystal system	tetragonal
E_form	-42	meV per atom

Entry 20:
Entry from the Alexandria database: a relaxed Ba2LaHg2 crystal (PBE).

extended XYZ file:
```
10
Lattice="-6.345 -5.310 4.044 4.967 -7.483 -2.034 2.221 0.388 3.994" Properties=species:S:1:pos:R:3 pbc="T T T"
Hg -3.367 -4.464 2.306
Hg -2.262 -9.359 2.168
Hg 1.989 -8.329 -0.296
Hg 0.884 -3.434 -0.158
La -0.689 -6.397 1.005
La 0.000 0.000 0.000
Ba 3.377 -5.562 1.296
Ba -2.534 -6.843 4.708
Ba -0.281 -2.803 3.062
Ba 1.124 -9.602 2.942
```

crystal system	tetragonal
E_form	-301	meV per atom

Entry 21:
Entry from the Alexandria database: a relaxed BaLaHg4 crystal (PBE).

extended XYZ file:
```
6
Lattice="-2.439 -1.133 2.563 2.433 -4.603 0.279 5.360 3.229 6.529" Properties=species:S:1:pos:R:3 pbc="T T T"
Hg 5.625 -2.496 6.934
Hg 2.136 -4.598 2.684
Hg 3.526 -0.726 5.719
Hg 1.802 -1.765 3.620
Ba 4.125 -0.198 9.215
La 2.660 -4.114 6.089
```

crystal system	orthorhombic
E_form	-464	meV per atom

Entry 22:
Entry from the Alexandria database: a relaxed BaLa5Hg6 crystal (PBE).

extended XYZ file:
```
12
Lattice="5.282 -0.032 1.760 0.043 7.942 0.014 -0.012 -0.016 8.841" Properties=species:S:1:pos:R:3 pbc="T T T"
La 1.788 3.955 3.510
La 3.525 3.940 7.105
La 1.764 -0.016 3.512
La 3.506 -0.032 7.089
La 0.021 3.971 0.007
Ba 0.000 0.000 0.000
Hg 4.370 1.991 4.533
Hg 2.652 2.092 0.884
Hg 0.943 5.905 6.082
Hg 2.672 5.819 0.891
Hg 0.922 2.006 6.075
Hg 4.391 5.889 4.540
```

crystal system	orthorhombic
E_form	-483	meV per atom

Entry 23:
Entry from the Alexandria database: a relaxed BaLaHg4 crystal (PBE).

extended XYZ file:
```
6
Lattice="0.000 4.421 4.421 4.421 0.000 4.421 4.421 4.421 0.000" Properties=species:S:1:pos:R:3 pbc="T T T"
Ba 0.000 0.000 0.000
Hg 5.522 3.321 5.522
Hg 3.321 5.522 5.522
Hg 5.522 5.522 3.321
Hg 3.321 3.321 3.321
La 6.632 6.632 6.632
```

crystal system	cubic
E_form	-326	meV per atom

Entry 24:
Entry from the Alexandria database: a relaxed BaLa2Hg crystal (PBE).

extended XYZ file:
```
4
Lattice="4.011 0.001 0.000 0.003 4.011 0.000 0.000 0.000 9.694" Properties=species:S:1:pos:R:3 pbc="T T T"
La 0.000 0.000 9.029
La 0.000 0.000 5.512
Hg 2.007 2.006 7.271
Ba 2.007 2.006 2.424
```

crystal system	tetragonal
E_form	-143	meV per atom

no.,total energy (eV/atom),total magnetic moment (μB/cell)
1,-3.06,0.00
2,-1.83,0.00
3,-3.09,0.01
4,-1.11,0.00
5,-2.98,2.04
6,-2.75,0.00
7,-2.71,0.90
8,-2.11,0.00
9,-2.79,0.00
10,-1.67,0.00
11,-3.00,0.00
12,-1.93,0.00
13,-2.08,0.00
14,-3.44,0.01
15,-3.06,0.00
16,-3.12,0.00
17,-3.22,0.00
18,-0.80,0.00
19,-3.06,0.00
20,-2.18,0.00
21,-1.81,0.03
22,-2.85,1.00
23,-1.67,0.00
24,-3.16,0.00